RbZn | GGA-PBE | relaxed

Output
**Calculated volume**: 1072.0 Å³ per cell
**Raw total energy**: -0.59 eV/atom
**ΔE_f**: 0.5310 eV per atom
**Space-group type**: No. 223

abc: 10.2345 10.2345 10.2345
angles: 90.00 90.00 90.00
Fractional positions:
Rb: 0.0000 0.2500 0.5000
Rb: 0.0000 0.7500 0.5000
Rb: 0.2500 0.5000 0.0000
Rb: 0.5000 0.0000 0.2500
Rb: 0.5000 0.0000 0.7500
Rb: 0.7500 0.5000 0.0000
Zn: 0.0000 0.5000 0.2500
Zn: 0.0000 0.5000 0.7500
Zn: 0.2500 0.0000 0.5000
Zn: 0.5000 0.2500 0.0000
Zn: 0.5000 0.7500 0.0000
Zn: 0.7500 0.0000 0.5000

Ti4Co3Ru | GGA-PBE | relaxed

Output
**Calculated volume**: 109.0 Å³ per cell
**Raw total energy**: -8.24 eV/atom
**ΔE_f**: -0.4678 eV per atom
**Space-group type**: No. 47

abc: 3.0210 4.2540 8.4839
angles: 90.00 90.00 90.00
Fractional positions:
Ti: 0.0000 0.0000 0.0000
Ti: 0.0000 0.0000 0.5000
Ti: 0.0000 0.5000 0.2440
Ti: 0.0000 0.5000 0.7560
Co: 0.5000 0.0000 0.2480
Co: 0.5000 0.0000 0.7520
Co: 0.5000 0.5000 0.0000
Ru: 0.5000 0.5000 0.5000

BaIn2Tc | GGA-PBE | relaxed

Output
**Calculated volume**: 119.9 Å³ per cell
**Raw total energy**: -4.24 eV/atom
**ΔE_f**: 0.2017 eV per atom
**Space-group type**: No. 8

abc: 4.7410 4.7410 6.7349
angles: 110.61 110.61 60.10
Fractional positions:
Ba: 0.0000 0.0000 0.0000
In: 0.5380 0.5380 0.6172
In: 0.8002 0.8002 0.4040
Tc: 0.1830 0.1830 0.5531

BePb3 | GGA-PBE | relaxed

Output
**Calculated volume**: 437.1 Å³ per cell
**Raw total energy**: -3.20 eV/atom
**ΔE_f**: 0.5158 eV per atom
**Space-group type**: No. 194

abc: 7.0402 7.0402 10.1828
angles: 90.00 90.00 120.00
Fractional positions:
Be: 0.0000 0.0000 0.0000
Be: 0.0000 0.0000 0.5000
Be: 0.3333 0.6667 0.2500
Be: 0.6667 0.3333 0.7500
Pb: 0.0000 0.5000 0.0000
Pb: 0.0000 0.5000 0.5000
Pb: 0.1538 0.3075 0.7500
Pb: 0.1538 0.8462 0.7500
Pb: 0.3075 0.1538 0.2500
Pb: 0.5000 0.0000 0.0000
Pb: 0.5000 0.0000 0.5000
Pb: 0.5000 0.5000 0.0000
Pb: 0.5000 0.5000 0.5000
Pb: 0.6925 0.8462 0.7500
Pb: 0.8462 0.1538 0.2500
Pb: 0.8462 0.6925 0.2500

- The lowest ΔE_f belongs to which entry?
  Ti4Co3Ru